## Pm6MgSn (PBE-GGA)

Data for a geometry-optimized Pm6MgSn structure.

The symmetry is P4/mmm (123). The final energy comes out at -4.483 eV/atom.

Lattice parameters (Å, degrees): 4.9778 4.9778 9.8967 90.00 90.00 90.00
Element x y z (fractional)
Pm 0.0000 0.5000 0.7547
Pm 0.5000 0.0000 0.7547
Pm 0.5000 0.5000 0.5000
Pm 0.0000 0.5000 0.2453
Pm 0.5000 0.0000 0.2453
Pm 0.5000 0.5000 0.0000
Mg 0.0000 0.0000 0.5000
Sn 0.0000 0.0000 0.0000